(1)
The following is a DFT calculation (PBE-GGA) of a relaxed LiYBe2Tl crystal.

ΔH_f (0 K)	0.852	eV per atom
space-group type	P4/mmm (123)

abc: 4.6216 5.8231 4.6216
angles: 90.00 90.00 90.00
Closest atoms and distances in Å follow each position.
Positions (direct):
Y (0.0000, 0.5000, 0.0000)  2 Tl 2.91
Be (0.0000, 0.0000, 0.5000)  2 Tl 2.31
Be (0.5000, 0.0000, 0.0000)  2 Tl 2.31
Tl (0.0000, 0.0000, 0.0000)  4 Be 2.31
Li (0.5000, 0.5000, 0.5000)  4 Y 3.27

=====

(2)
The following is a DFT calculation (PBE-GGA) of a relaxed LiTm2Be crystal.

ΔH_f (0 K)	0.335	eV per atom
space-group type	R-3m (166)

abc: 3.3680 3.3680 10.5301
angles: 80.80 80.80 60.00
Closest atoms and distances in Å follow each position.
Positions (direct):
Li (0.0000, 0.0000, 0.0000)  2 Tm 3.22, 6 Li 3.37
Tm (0.8963, 0.8963, 0.3111)  3 Be 2.76
Tm (0.1037, 0.1037, 0.6889)  3 Be 2.76
Be (0.5000, 0.5000, 0.5000)  6 Tm 2.76

=====

(3)
The following is a DFT calculation (PBE-GGA) of a relaxed LiTm2Be crystal.

ΔH_f (0 K)	0.086	eV per atom
space-group type	P4/mmm (123)

abc: 3.4240 3.4240 7.3921
angles: 90.00 90.00 90.00
Closest atoms and distances in Å follow each position.
Positions (direct):
Tm (0.0000, 0.0000, 0.7864)  4 Be 2.89, 1 Tm 3.16, 4 Li 3.22
Tm (0.0000, 0.0000, 0.2136)  4 Be 2.89, 1 Tm 3.16, 4 Li 3.22
Be (0.5000, 0.5000, 0.0000)  8 Tm 2.89
Li (0.5000, 0.5000, 0.5000)  8 Tm 3.22, 4 Li 3.42

=====

(4)
The following is a DFT calculation (PBE-GGA) of a relaxed LiTm2Be crystal.

ΔH_f (0 K)	0.126	eV per atom
space-group type	Fm-3m (225)

abc: 4.9163 4.9163 4.9163
angles: 60.00 60.00 60.00
Closest atoms and distances in Å follow each position.
Positions (direct):
Be (0.0000, 0.0000, 0.0000)  8 Tm 3.01
Tm (0.7500, 0.7500, 0.7500)  4 Li 3.01, 4 Be 3.01
Tm (0.2500, 0.2500, 0.2500)  4 Be 3.01, 4 Li 3.01
Li (0.5000, 0.5000, 0.5000)  8 Tm 3.01

=====

(5)
The following is a DFT calculation (PBE-GGA) of a relaxed LiYTmBe crystal.

ΔH_f (0 K)	0.122	eV per atom
space-group type	F-43m (216)

abc: 4.9598 4.9598 4.9598
angles: 60.00 60.00 60.00
Closest atoms and distances in Å follow each position.
Positions (direct):
Li (0.0000, 0.0000, 0.0000)  4 Tm 3.04, 4 Y 3.04
Tm (0.2500, 0.2500, 0.2500)  4 Li 3.04, 4 Be 3.04
Be (0.5000, 0.5000, 0.5000)  4 Tm 3.04, 4 Y 3.04
Y (0.7500, 0.7500, 0.7500)  4 Li 3.04, 4 Be 3.04

=====

(6)
The following is a DFT calculation (PBE-GGA) of a relaxed LiTmBeZn6 crystal.

ΔH_f (0 K)	-0.001	eV per atom
space-group type	Imma (74)

abc: 6.5564 8.3372 7.6544
angles: 123.00 115.36 90.00
Closest atoms and distances in Å follow each position.
Positions (direct):
Li (0.0000, 0.0000, 0.5000)  6 Zn 2.62-2.64
Li (0.5000, 0.0000, 0.5000)  6 Zn 2.62-2.64
Zn (0.0796, 0.8686, 0.7578)  1 Be 2.38, 1 Li 2.62, 1 Zn 2.63
Zn (0.3218, 0.1314, 0.2422)  1 Be 2.38, 1 Li 2.62, 1 Zn 2.63
Zn (0.0093, 0.7593, 0.0186)  8 Zn 2.79-2.82, 2 Li 3.12
Zn (0.6782, 0.8686, 0.7578)  1 Be 2.38, 1 Li 2.62, 1 Zn 2.63
Zn (0.0796, 0.3892, 0.7578)  1 Be 2.38, 1 Li 2.62, 1 Zn 2.63
Zn (0.9204, 0.1314, 0.2422)  1 Be 2.38, 1 Li 2.62, 1 Zn 2.63
Zn (0.4371, 0.1871, 0.8741)  2 Be 2.20
Zn (0.5629, 0.8129, 0.1259)  2 Be 2.20
Zn (0.3218, 0.6108, 0.2422)  1 Be 2.38, 1 Li 2.62, 1 Zn 2.63
Zn (0.9907, 0.2407, 0.9814)  8 Zn 2.79-2.82, 2 Li 3.12
Zn (0.6782, 0.3892, 0.7578)  1 Be 2.38, 1 Li 2.62, 1 Zn 2.63
Zn (0.9204, 0.6108, 0.2422)  1 Be 2.38, 1 Li 2.62, 1 Zn 2.63
Tm (0.7033, 0.4533, 0.4065)  9 Zn 2.94-3.08, 2 Be 3.06
Tm (0.2967, 0.5467, 0.5935)  9 Zn 2.94-3.08, 2 Be 3.06
Be (0.5000, 0.0000, 0.0000)  6 Zn 2.20-2.38
Be (0.5000, 0.5000, 0.0000)  6 Zn 2.20-2.38

=====

(7)
The following is a DFT calculation (PBE-GGA) of a relaxed LiTmBeZn crystal.

ΔH_f (0 K)	-0.055	eV per atom
space-group type	F-43m (216)

abc: 4.4577 4.4577 4.4577
angles: 60.00 60.00 60.00
Closest atoms and distances in Å follow each position.
Positions (direct):
Li (0.0000, 0.0000, 0.0000)  4 Zn 2.73, 4 Tm 2.73
Zn (0.7500, 0.7500, 0.7500)  4 Li 2.73, 4 Be 2.73
Tm (0.2500, 0.2500, 0.2500)  4 Li 2.73, 4 Be 2.73
Be (0.5000, 0.5000, 0.5000)  4 Zn 2.73, 4 Tm 2.73

=====

(8)
The following is a DFT calculation (PBE-GGA) of a relaxed Li2BeV crystal.

ΔH_f (0 K)	0.736	eV per atom
space-group type	I-42d (122)

abc: 6.8114 6.8114 5.4168
angles: 51.04 51.04 90.00
Closest atoms and distances in Å follow each position.
Positions (direct):
Li (0.5924, 0.1250, 0.2500)  2 Be 2.34, 2 Li 2.52
Li (0.3750, 0.4076, 0.7500)  2 Be 2.34, 2 Li 2.52
Li (0.8750, 0.8424, 0.7500)  2 Be 2.34, 2 Li 2.52
Li (0.1576, 0.6250, 0.2500)  2 Be 2.34, 2 Li 2.52
V (0.0000, 0.0000, 0.0000)  2 Be 2.48, 4 Li 2.64
V (0.7500, 0.2500, 0.5000)  2 Be 2.48, 4 Li 2.64
Be (0.2500, 0.7500, 0.5000)  4 Li 2.34, 2 V 2.48
Be (0.5000, 0.5000, 0.0000)  4 Li 2.34, 2 V 2.48

=====

(9)
The following is a DFT calculation (PBE-GGA) of a relaxed LiBe2V crystal.

ΔH_f (0 K)	0.635	eV per atom
space-group type	I-42d (122)

abc: 6.2527 6.2527 5.0037
angles: 51.33 51.33 90.00
Closest atoms and distances in Å follow each position.
Positions (direct):
Be (0.6077, 0.1250, 0.2500)  2 Li 2.21, 2 Be 2.35, 2 V 2.36
Be (0.8750, 0.8577, 0.7500)  2 Li 2.21, 2 Be 2.35, 2 V 2.36
Be (0.3750, 0.3923, 0.7500)  2 Li 2.21, 2 Be 2.35, 2 V 2.36
Be (0.1423, 0.6250, 0.2500)  2 Li 2.21, 2 Be 2.35, 2 V 2.36
Li (0.2500, 0.7500, 0.5000)  4 Be 2.21, 2 V 2.34
Li (0.5000, 0.5000, 0.0000)  4 Be 2.21, 2 V 2.34
V (0.0000, 0.0000, 0.0000)  2 Li 2.34, 4 Be 2.36
V (0.7500, 0.2500, 0.5000)  2 Li 2.34, 4 Be 2.36

=====

(10)
The following is a DFT calculation (PBE-GGA) of a relaxed LiBe2V crystal.

ΔH_f (0 K)	0.272	eV per atom
space-group type	Fm-3m (225)

abc: 3.9128 3.9128 3.9128
angles: 60.00 60.00 60.00
Closest atoms and distances in Å follow each position.
Positions (direct):
Be (0.2500, 0.2500, 0.2500)  4 Li 2.40, 4 V 2.40
Be (0.7500, 0.7500, 0.7500)  4 Li 2.40, 4 V 2.40
V (0.5000, 0.5000, 0.5000)  8 Be 2.40
Li (0.0000, 0.0000, 0.0000)  8 Be 2.40

=====

(11)
The following is a DFT calculation (PBE-GGA) of a relaxed Li2BeW crystal.

ΔH_f (0 K)	0.710	eV per atom
space-group type	F-43m (216)

abc: 4.1064 4.1064 4.1064
angles: 119.97 119.97 90.05
Closest atoms and distances in Å follow each position.
Positions (direct):
Be (0.7500, 0.2500, 0.5000)  4 W 2.52, 4 Li 2.52
Li (0.2500, 0.7500, 0.5000)  4 W 2.52, 4 Li 2.52
Li (0.0000, 0.0000, 0.0000)  4 Be 2.52, 4 Li 2.52
W (0.5000, 0.5000, 0.0000)  4 Li 2.52, 4 Be 2.52

=====

(12)
The following is a DFT calculation (PBE-GGA) of a relaxed Li2BeW crystal.

ΔH_f (0 K)	0.449	eV per atom
space-group type	R-3m (166)

abc: 9.5844 9.5844 9.5844
angles: 15.90 15.90 15.90
Closest atoms and distances in Å follow each position.
Positions (direct):
Be (0.7500, 0.7500, 0.7500)  6 Be 2.65, 6 Li 2.70
Li (0.4950, 0.4950, 0.4950)  6 Li 2.65, 3 Be 2.70, 3 W 2.94
Li (0.0050, 0.0050, 0.0050)  6 Li 2.65, 3 Be 2.70, 3 W 2.94
W (0.2500, 0.2500, 0.2500)  6 W 2.65, 6 Li 2.94

=====

(13)
The following is a DFT calculation (PBE-GGA) of a relaxed Li2BeW crystal.

ΔH_f (0 K)	0.963	eV per atom
space-group type	I-42d (122)

abc: 6.5862 6.5862 5.2235
angles: 50.92 50.92 90.00
Closest atoms and distances in Å follow each position.
Positions (direct):
Li (0.1643, 0.6250, 0.2500)  2 Be 2.23, 2 Li 2.42
Li (0.8750, 0.8357, 0.7500)  2 Be 2.23, 2 Li 2.42
Li (0.3750, 0.4143, 0.7500)  2 Be 2.23, 2 Li 2.42
Li (0.5857, 0.1250, 0.2500)  2 Be 2.23, 2 Li 2.42
Be (0.5000, 0.5000, 0.0000)  4 Li 2.23, 2 W 2.37
Be (0.2500, 0.7500, 0.5000)  4 Li 2.23, 2 W 2.37
W (0.0000, 0.0000, 0.0000)  2 Be 2.37, 4 Li 2.59
W (0.7500, 0.2500, 0.5000)  2 Be 2.37, 4 Li 2.59

=====

(14)
The following is a DFT calculation (PBE-GGA) of a relaxed Li2BeW crystal.

ΔH_f (0 K)	0.348	eV per atom
space-group type	Immm (71)

abc: 5.5028 5.5028 4.4363
angles: 66.23 66.23 25.94
Closest atoms and distances in Å follow each position.
Positions (direct):
W (0.2500, 0.2500, 0.2500)  2 W 2.47, 4 Be 2.54
Be (0.7500, 0.7500, 0.7500)  4 Li 2.46, 2 Be 2.47, 4 W 2.54
Li (0.4679, 0.4679, 0.5321)  2 Be 2.46, 6 Li 2.47-2.62
Li (0.0321, 0.0321, 0.9679)  2 Be 2.46, 6 Li 2.47-2.62

=====

(15)
The following is a DFT calculation (PBE-GGA) of a relaxed Li2BeW crystal.

ΔH_f (0 K)	0.405	eV per atom
space-group type	Pmmm (47)

abc: 2.4864 4.4889 4.8244
angles: 90.00 90.00 90.00
Closest atoms and distances in Å follow each position.
Positions (direct):
Li (0.0000, 0.0000, 0.0000)  6 Li 2.49-2.57, 4 W 2.71
Li (0.5000, 0.5000, 0.0000)  6 Li 2.49-2.57, 4 Be 2.71
W (0.5000, 0.0000, 0.5000)  2 W 2.49, 4 Be 2.57, 4 Li 2.71
Be (0.0000, 0.5000, 0.5000)  2 Be 2.49, 4 W 2.57, 4 Li 2.71

=====

(16)
The following is a DFT calculation (PBE-GGA) of a relaxed LiBeW3 crystal.

ΔH_f (0 K)	1.080	eV per atom
space-group type	Pm-3m (221)

abc: 4.2535 4.2535 4.2535
angles: 90.00 90.00 90.00
Closest atoms and distances in Å follow each position.
Positions (direct):
Li (0.5000, 0.5000, 0.5000)  12 W 3.01
W (0.0000, 0.5000, 0.0000)  2 Be 2.13
W (0.5000, 0.0000, 0.0000)  2 Be 2.13
W (0.0000, 0.0000, 0.5000)  2 Be 2.13
Be (0.0000, 0.0000, 0.0000)  6 W 2.13

=====

(17)
The following is a DFT calculation (PBE-GGA) of a relaxed LiBeW crystal.

ΔH_f (0 K)	0.309	eV per atom
space-group type	Fmm2 (42)

abc: 5.5210 5.5248 2.6879
angles: 75.84 75.99 28.17
Closest atoms and distances in Å follow each position.
Positions (direct):
W (0.6536, 0.6536, 0.3464)  4 Be 2.51-2.52, 4 W 2.69, 4 Li 2.80
Li (0.3520, 0.3520, 0.6480)  4 Be 2.40-2.41, 4 Li 2.69
Be (0.9944, 0.9944, 0.0056)  4 Li 2.40-2.41, 4 W 2.51-2.52, 4 Be 2.69

=====

(18)
The following is a DFT calculation (PBE-GGA) of a relaxed LiBe17W crystal.

ΔH_f (0 K)	-0.060	eV per atom
space-group type	R3m (160)

abc: 5.5280 5.5280 5.5280
angles: 82.69 82.69 82.69
Closest atoms and distances in Å follow each position.
Positions (direct):
Be (0.7016, 0.0009, 0.2978)  8 Be 2.06-2.24
Be (0.9899, 0.5039, 0.9899)  10 Be 2.06-2.27
Be (0.0972, 0.0972, 0.0972)  7 Be 2.13-2.32
Be (0.6548, 0.6548, 0.1609)  9 Be 2.09-2.28
Be (0.7016, 0.2978, 0.0009)  8 Be 2.06-2.24
Be (0.1609, 0.6548, 0.6548)  9 Be 2.09-2.28
Be (0.3482, 0.3482, 0.8394)  9 Be 2.09-2.32
Be (0.9899, 0.9899, 0.5039)  10 Be 2.06-2.27
Be (0.2978, 0.7016, 0.0009)  8 Be 2.06-2.24
Be (0.8394, 0.3482, 0.3482)  9 Be 2.09-2.32
Be (0.0009, 0.2978, 0.7016)  8 Be 2.06-2.24
Be (0.3482, 0.8394, 0.3482)  9 Be 2.09-2.32
Be (0.8985, 0.8985, 0.8985)  7 Be 2.13-2.28
Be (0.5039, 0.9899, 0.9899)  10 Be 2.06-2.27
Be (0.2978, 0.0009, 0.7016)  8 Be 2.06-2.24
Be (0.6548, 0.1609, 0.6548)  9 Be 2.09-2.28
Be (0.0009, 0.7016, 0.2978)  8 Be 2.06-2.24
W (0.6660, 0.6660, 0.6660)  16 Be 2.49-2.72
Li (0.3478, 0.3478, 0.3478)  16 Be 2.57-2.81

=====

(19)
The following is a DFT calculation (PBE-GGA) of a relaxed Li2BeW crystal.

ΔH_f (0 K)	0.512	eV per atom
space-group type	P4/mmm (123)

abc: 2.5458 2.5458 8.6163
angles: 90.00 90.00 90.00
Closest atoms and distances in Å follow each position.
Positions (direct):
Li (0.0000, 0.0000, 0.5206)  4 Li 2.55, 4 Be 2.67
Li (0.0000, 0.0000, 0.9794)  4 Li 2.55, 4 Be 2.67
W (0.5000, 0.5000, 0.2500)  4 W 2.55
Be (0.5000, 0.5000, 0.7500)  4 Be 2.55, 8 Li 2.67

=====

(20)
The following is a DFT calculation (PBE-GGA) of a relaxed Li2BeW crystal.

ΔH_f (0 K)	0.453	eV per atom
space-group type	Cm (8)

abc: 4.8202 4.8202 5.0459
angles: 72.95 72.95 29.37
Closest atoms and distances in Å follow each position.
Positions (direct):
Li (0.2677, 0.2677, 0.1914)  5 Li 2.44-2.65, 2 Be 2.62
Li (0.0320, 0.0320, 0.0541)  5 Li 2.44-2.65, 2 Be 2.56
W (0.4707, 0.4707, 0.5882)  2 W 2.44, 3 Be 2.48-2.56
Be (0.7295, 0.7295, 0.6664)  2 Be 2.44, 3 W 2.48-2.56, 4 Li 2.56-2.62